[1]
Below is a geometry-optimized RbPt3I structure, with properties calculated at the PBEsol level.

## Properties
Distance to the lowest polymorph of the same formula   0.0 meV/atom
Symmetry   Pm-3m, No. 221
M_tot   0.00 Bohr magnetons per cell
Fermi-level density of states   2.22 states/eV/cell
Formation energy without anion corrections   0.7220 eV/atom

Lattice parameters (Å, degrees): 5.0309 5.0309 5.0309 90.00 90.00 90.00
Last column: nearest neighbours and their distance in Å.
Fractional coordinates of all 5 atoms:
Rb 0.0000 0.0000 0.0000  12 Pt 3.56
Pt 0.0000 0.5000 0.5000  2 I 2.52
Pt 0.5000 0.0000 0.5000  2 I 2.52
Pt 0.5000 0.5000 0.0000  2 I 2.52
I 0.5000 0.5000 0.5000  6 Pt 2.52


[2]
Below is a geometry-optimized HgTeMo2 structure, with properties calculated at the PBEsol level.

## Properties
Distance to the lowest polymorph of the same formula   231.6 meV/atom
Symmetry   C2/m, No. 12
M_tot   0.00 Bohr magnetons per cell
Fermi-level density of states   3.90 states/eV/cell
Formation energy without anion corrections   0.7601 eV/atom

Lattice parameters (Å, degrees): 5.2892 5.2892 3.0479 101.11 101.11 113.70
Last column: nearest neighbours and their distance in Å.
Fractional coordinates of all 4 atoms:
Hg 0.0000 0.0000 0.0000  4 Mo 2.79, 2 Te 2.89, 2 Hg 3.05
Te 0.5000 0.5000 0.0000  4 Mo 2.79, 2 Hg 2.89, 2 Te 3.05
Mo 0.0000 0.5000 0.5000  2 Hg 2.79, 2 Te 2.79, 4 Mo 2.89-3.05
Mo 0.5000 0.0000 0.5000  2 Hg 2.79, 2 Te 2.79, 4 Mo 2.89-3.05


[3]
Below is a geometry-optimized La2MgP2 structure, with properties calculated at the PBEsol level.

## Properties
Symmetry   P4/mbm, No. 127
Energy of formation   -1.19 eV/atom
M_tot   0.00 Bohr magnetons per cell
Fermi-level density of states   2.07 states/eV/cell

Lattice parameters (Å, degrees): 7.6519 7.6519 3.9897 90.00 90.00 90.00
Last column: nearest neighbours and their distance in Å.
Fractional coordinates of all 10 atoms:
La 0.1503 0.3497 0.0000  6 P 2.87-3.10
La 0.3497 0.8497 0.0000  6 P 2.87-3.10
La 0.6503 0.1503 0.0000  6 P 2.87-3.10
La 0.8497 0.6503 0.0000  6 P 2.87-3.10
Mg 0.0000 0.0000 0.5000  4 P 2.88
Mg 0.5000 0.5000 0.5000  4 P 2.88
P 0.1593 0.6593 0.5000  6 La 2.87-3.10, 2 Mg 2.88
P 0.3407 0.1593 0.5000  6 La 2.87-3.10, 2 Mg 2.88
P 0.6593 0.8407 0.5000  6 La 2.87-3.10, 2 Mg 2.88
P 0.8407 0.3407 0.5000  6 La 2.87-3.10, 2 Mg 2.88


[4]
Below is a geometry-optimized Li2IrRh structure, with properties calculated at the PBEsol level.

## Properties
Distance to the lowest polymorph of the same formula   33.4 meV/atom
Symmetry   Cmmm, No. 65
Energy of formation   -0.13 eV/atom
M_tot   0.00 Bohr magnetons per cell
Fermi-level density of states   3.48 states/eV/cell

Lattice parameters (Å, degrees): 2.6092 2.6092 8.7584 90.00 90.00 118.43
Last column: nearest neighbours and their distance in Å.
Fractional coordinates of all 4 atoms:
Li 0.0000 0.0000 0.2484  2 Rh 2.55, 2 Ir 2.58, 6 Li 2.61-2.67
Li 0.0000 0.0000 0.7516  2 Rh 2.55, 2 Ir 2.58, 6 Li 2.61-2.67
Ir 0.5000 0.5000 0.5000  4 Li 2.58, 6 Ir 2.61-2.67
Rh 0.5000 0.5000 0.0000  4 Li 2.55, 6 Rh 2.61-2.67


[5]
Below is a geometry-optimized Be3InNi structure, with properties calculated at the PBEsol level.

## Properties
Symmetry   Pm-3m, No. 221
Energy of formation   1.49 eV/atom
M_tot   0.03 Bohr magnetons per cell
Fermi-level density of states   2.23 states/eV/cell

Lattice parameters (Å, degrees): 4.3523 4.3523 4.3523 90.00 90.00 90.00
Last column: nearest neighbours and their distance in Å.
Fractional coordinates of all 5 atoms:
Be 0.0000 0.0000 0.5000  2 In 2.18
Be 0.0000 0.5000 0.0000  2 In 2.18
Be 0.5000 0.0000 0.0000  2 In 2.18
In 0.0000 0.0000 0.0000  6 Be 2.18
Ni 0.5000 0.5000 0.5000  12 Be 3.08


[6]
Below is a geometry-optimized ZnCu2PH7O9 structure, with properties calculated at the PBEsol level.

## Properties
Symmetry   P2_1/c, No. 14
M_tot   7.88 Bohr magnetons per cell
Fermi-level density of states   2.97 states/eV/cell

Lattice parameters (Å, degrees): 7.4101 10.1142 9.6366 90.00 101.45 90.00
Last column: nearest neighbours and their distance in Å.
Fractional coordinates of all 80 atoms:
Zn 0.0691 0.0745 0.2144  4 O 1.94-1.97
Zn 0.0691 0.4255 0.7144  4 O 1.94-1.97
Zn 0.9309 0.5745 0.2856  4 O 1.94-1.97
Zn 0.9309 0.9255 0.7856  4 O 1.94-1.97
Cu 0.4538 0.2484 0.3640  4 O 1.94-2.02
Cu 0.4538 0.2516 0.8640  4 O 1.94-2.02
Cu 0.4951 0.0643 0.1377  4 O 1.93-1.99
Cu 0.4951 0.4357 0.6377  4 O 1.93-1.99
Cu 0.5049 0.5643 0.3623  4 O 1.93-1.99
Cu 0.5049 0.9357 0.8623  4 O 1.93-1.99
Cu 0.5462 0.7484 0.1360  4 O 1.94-2.02
Cu 0.5462 0.7516 0.6360  4 O 1.94-2.02
P 0.0549 0.2052 0.9189  4 O 1.55-1.56
P 0.0549 0.2948 0.4189  4 O 1.55-1.56
P 0.9451 0.7052 0.5811  4 O 1.55-1.56
P 0.9451 0.7948 0.0811  4 O 1.55-1.56
H 0.1966 0.0964 0.7187  1 O 1.00
H 0.1966 0.4036 0.2187  1 O 1.00
H 0.2291 0.6190 0.9776  1 O 0.98
H 0.2291 0.8810 0.4776  1 O 0.98
H 0.2517 0.6835 0.2089  1 O 1.01
H 0.2517 0.8165 0.7089  1 O 1.01
H 0.2685 0.6157 0.5146  1 O 1.01
H 0.2685 0.8843 0.0146  1 O 1.01
H 0.3115 0.1470 0.6062  1 O 1.00
H 0.3115 0.3530 0.1062  1 O 1.00
H 0.3468 0.6860 0.8703  1 O 1.04
H 0.3468 0.8140 0.3703  1 O 1.04
H 0.3582 0.0086 0.3540  1 O 1.03
H 0.3582 0.4914 0.8540  1 O 1.03
H 0.6418 0.5086 0.1460  1 O 1.03
H 0.6418 0.9914 0.6460  1 O 1.03
H 0.6532 0.1860 0.6297  1 O 1.04
H 0.6532 0.3140 0.1297  1 O 1.04
H 0.6885 0.6470 0.8938  1 O 1.00
H 0.6885 0.8530 0.3938  1 O 1.00
H 0.7315 0.1157 0.9854  1 O 1.01
H 0.7315 0.3843 0.4854  1 O 1.01
H 0.7483 0.1835 0.2911  1 O 1.01
H 0.7483 0.3165 0.7911  1 O 1.01
H 0.7709 0.1190 0.5224  1 O 0.98
H 0.7709 0.3810 0.0224  1 O 0.98
H 0.8034 0.5964 0.7813  1 O 1.00
H 0.8034 0.9036 0.2813  1 O 1.00
O 0.0222 0.1055 0.7942  1 P 1.55, 1 H 1.61
O 0.0222 0.3945 0.2942  1 P 1.55, 1 H 1.61
O 0.0342 0.6600 0.1348  1 P 1.56, 1 H 1.65
O 0.0342 0.8400 0.6348  1 P 1.56, 1 H 1.65
O 0.0441 0.6560 0.4635  1 P 1.55, 1 H 1.69
O 0.0441 0.8440 0.9635  1 P 1.55, 1 H 1.69
O 0.2638 0.2230 0.9786  1 P 1.55
O 0.2638 0.2770 0.4786  1 P 1.55
O 0.3223 0.0946 0.6948  2 H 1.00
O 0.3223 0.4054 0.1948  2 H 1.00
O 0.3343 0.0821 0.2779  1 H 1.03
O 0.3343 0.4179 0.7779  1 H 1.03
O 0.3481 0.6146 0.9476  2 H 0.98-1.04
O 0.3481 0.8854 0.4476  2 H 0.98-1.04
O 0.3769 0.7122 0.2617  1 H 1.01
O 0.3769 0.7878 0.7617  1 H 1.01
O 0.4046 0.5966 0.5357  1 H 1.01
O 0.4046 0.9034 0.0357  1 H 1.01
O 0.5954 0.0966 0.9643  1 H 1.01
O 0.5954 0.4034 0.4643  1 H 1.01
O 0.6231 0.2122 0.2383  1 H 1.01
O 0.6231 0.2878 0.7383  1 H 1.01
O 0.6519 0.1146 0.5524  2 H 0.98-1.04
O 0.6519 0.3854 0.0524  2 H 0.98-1.04
O 0.6657 0.5821 0.2221  1 H 1.03
O 0.6657 0.9179 0.7221  1 H 1.03
O 0.6777 0.5946 0.8052  2 H 1.00
O 0.6777 0.9054 0.3052  2 H 1.00
O 0.7362 0.7230 0.5214  1 P 1.55
O 0.7362 0.7770 0.0214  1 P 1.55
O 0.9559 0.1560 0.0365  1 P 1.55, 1 H 1.69
O 0.9559 0.3440 0.5365  1 P 1.55, 1 H 1.69
O 0.9658 0.1600 0.3652  1 P 1.56, 1 H 1.65
O 0.9658 0.3400 0.8652  1 P 1.56, 1 H 1.65
O 0.9778 0.6055 0.7058  1 P 1.55, 1 H 1.61
O 0.9778 0.8945 0.2058  1 P 1.55, 1 H 1.61


[7]
Below is a geometry-optimized La2HS structure, with properties calculated at the PBEsol level.

## Properties
Distance to the lowest polymorph of the same formula   129.6 meV/atom
Symmetry   Fm-3m, No. 225
M_tot   0.00 Bohr magnetons per cell
Fermi-level density of states   4.26 states/eV/cell

Lattice parameters (Å, degrees): 4.8317 4.8317 4.8317 60.00 60.00 60.00
Last column: nearest neighbours and their distance in Å.
Fractional coordinates of all 4 atoms:
La 0.2500 0.2500 0.2500  4 S 2.96, 4 H 2.96
La 0.7500 0.7500 0.7500  4 S 2.96, 4 H 2.96
H 0.0000 0.0000 0.0000  8 La 2.96
S 0.5000 0.5000 0.5000  8 La 2.96


[8]
Below is a geometry-optimized CrCo2Ru structure, with properties calculated at the PBEsol level.

## Properties
Distance to the lowest polymorph of the same formula   12.3 meV/atom
Symmetry   I4/mmm, No. 139
Energy of formation   0.05 eV/atom
M_tot   0.26 Bohr magnetons per cell
Fermi-level density of states   4.33 states/eV/cell

Lattice parameters (Å, degrees): 4.3686 4.3686 4.3686 132.75 132.75 69.05
Last column: nearest neighbours and their distance in Å.
Fractional coordinates of all 4 atoms:
Cr 0.0000 0.0000 0.0000  4 Ru 2.48, 8 Co 2.51
Co 0.2500 0.7500 0.5000  4 Co 2.48, 4 Cr 2.51, 4 Ru 2.51
Co 0.7500 0.2500 0.5000  4 Co 2.48, 4 Cr 2.51, 4 Ru 2.51
Ru 0.5000 0.5000 0.0000  4 Cr 2.48, 8 Co 2.51


[9]
Below is a geometry-optimized Cu2TcPb structure, with properties calculated at the PBEsol level.

## Properties
Symmetry   Pmm2, No. 25
Energy of formation   0.52 eV/atom
M_tot   0.00 Bohr magnetons per cell
Fermi-level density of states   3.58 states/eV/cell

Lattice parameters (Å, degrees): 2.8999 3.2176 6.6142 90.00 90.00 90.00
Last column: nearest neighbours and their distance in Å.
Fractional coordinates of all 4 atoms:
Cu 0.0000 0.0000 0.0000  4 Cu 2.48, 4 Tc 2.60
Cu 0.5000 0.5000 0.1835  4 Cu 2.48, 1 Tc 2.64
Tc 0.5000 0.5000 0.7839  5 Cu 2.60-2.64, 2 Tc 2.90
Pb 0.0000 0.0000 0.4846  4 Pb 2.90-3.22, 4 Tc 2.93, 5 Cu 2.94-3.21


[10]
Below is a geometry-optimized Ba2DyReO6 structure, with properties calculated at the PBEsol level.

## Properties
Symmetry   Fm-3m, No. 225
M_tot   1.09 Bohr magnetons per cell
Fermi-level density of states   4.87 states/eV/cell
Formation energy without anion corrections   -2.6728 eV/atom

Lattice parameters (Å, degrees): 5.9028 5.9028 5.9028 60.00 60.00 60.00
Last column: nearest neighbours and their distance in Å.
Fractional coordinates of all 10 atoms:
Ba 0.2500 0.2500 0.2500  12 O 2.95
Ba 0.7500 0.7500 0.7500  12 O 2.95
Dy 0.0000 0.0000 0.0000  6 O 2.21
Re 0.5000 0.5000 0.5000  6 O 1.96
O 0.2652 0.2652 0.7348  1 Re 1.96
O 0.2652 0.7348 0.2652  1 Re 1.96
O 0.2652 0.7348 0.7348  1 Re 1.96
O 0.7348 0.2652 0.2652  1 Re 1.96
O 0.7348 0.2652 0.7348  1 Re 1.96
O 0.7348 0.7348 0.2652  1 Re 1.96


[11]
Below is a geometry-optimized SbTeMo2 structure, with properties calculated at the PBEsol level.

## Properties
Distance to the lowest polymorph of the same formula   37.3 meV/atom
Symmetry   R3m, No. 160
M_tot   0.00 Bohr magnetons per cell
Fermi-level density of states   3.05 states/eV/cell
Formation energy without anion corrections   0.2412 eV/atom

Lattice parameters (Å, degrees): 10.1879 10.1879 10.1879 17.87 17.87 17.87
Last column: nearest neighbours and their distance in Å.
Fractional coordinates of all 4 atoms:
Sb 0.0000 0.0000 0.0000  3 Mo 2.84, 6 Sb 3.16
Te 0.7947 0.7947 0.7947  3 Mo 2.76
Mo 0.2610 0.2610 0.2610  3 Mo 2.65, 3 Sb 2.84
Mo 0.5304 0.5304 0.5304  3 Mo 2.65, 3 Te 2.76


[12]
Below is a geometry-optimized MgZrSc2 structure, with properties calculated at the PBEsol level.

## Properties
Symmetry   Cm, No. 8
Energy of formation   0.04 eV/atom
M_tot   0.00 Bohr magnetons per cell
Fermi-level density of states   4.90 states/eV/cell

Lattice parameters (Å, degrees): 5.6056 5.6056 5.4359 101.23 101.23 32.87
Last column: nearest neighbours and their distance in Å.
Fractional coordinates of all 4 atoms:
Mg 0.0000 0.0000 0.0000  7 Sc 3.08-3.26, 3 Zr 3.16-3.41, 2 Mg 3.17
Zr 0.7424 0.7424 0.2761  7 Sc 3.06-3.24, 3 Mg 3.16-3.41, 2 Zr 3.17
Sc 0.2547 0.2547 0.7614  4 Zr 3.06-3.24, 3 Mg 3.13-3.26, 5 Sc 3.17-3.30
Sc 0.4948 0.4948 0.4836  4 Mg 3.08-3.21, 3 Zr 3.09-3.15, 5 Sc 3.17-3.30


Across the entries above, total energy takes the values -0.295; -0.452; -0.440; -0.412; -0.201; -0.406; -0.407; -0.656; -0.401; -0.594; -0.563; -0.438 Ry/atom, respectively.